No. 1
# PaAlCu2

An optimized crystal structure of PaAlCu2 (PBE-GGA, Alexandria).

energy of formation from the pure elements: 0.112 eV per atom

Unit cell a=4.6826 b=4.6826 c=3.2013 alpha=90.00 beta=90.00 gamma=90.00
With the nearest neighbours (Å) after each atom.
Space group P4/mmm (No. 123)
Symmetry-distinct sites (fractional):
Pa (0.0000, 0.0000, 0.0000) [1 per cell]  8 Cu 2.84
Al (0.5000, 0.5000, 0.0000) [1 per cell]  8 Cu 2.84
Cu (0.0000, 0.5000, 0.5000) [2 per cell]  4 Pa 2.84, 4 Al 2.84

No. 2
# Pa3AlCu4

An optimized crystal structure of Pa3AlCu4 (PBE-GGA, Alexandria).

energy of formation from the pure elements: 0.038 eV per atom

Unit cell a=14.9020 b=4.2535 c=4.7694 alpha=90.00 beta=98.23 gamma=90.00
With the nearest neighbours (Å) after each atom.
Space group C2/m (No. 12)
Symmetry-distinct sites (fractional):
Pa (0.0000, 0.0000, 0.0000) [2 per cell]  4 Cu 2.89, 2 Pa 3.14, 4 Al 3.20
Pa (0.1482, 0.0000, 0.5930) [4 per cell]  4 Cu 2.67-2.93
Al (0.0000, 0.5000, 0.5000) [2 per cell]  2 Cu 2.85, 8 Pa 3.05-3.20
Cu (0.1309, 0.5000, 0.1180) [4 per cell]  3 Cu 2.50-2.62
Cu (0.2343, 0.0000, 0.1394) [4 per cell]  5 Cu 2.50-2.62, 2 Pa 2.67-2.73

No. 3
# PaAl10Cu2

An optimized crystal structure of PaAl10Cu2 (PBE-GGA, Alexandria).

energy of formation from the pure elements: -0.146 eV per atom

Unit cell a=5.2021 b=12.3881 c=13.2425 alpha=90.00 beta=90.00 gamma=90.00
With the nearest neighbours (Å) after each atom.
Space group Fmmm (No. 69)
Symmetry-distinct sites (fractional):
Pa (0.0000, 0.0000, 0.0000) [4 per cell]  16 Al 3.18-3.36, 4 Cu 3.56
Al (0.0000, 0.1062, 0.3863) [16 per cell]  2 Cu 2.58, 7 Al 2.63-2.88
Al (0.0000, 0.1716, 0.1788) [16 per cell]  2 Cu 2.67, 7 Al 2.71-2.88
Al (0.2500, 0.2500, 0.0000) [8 per cell]  10 Al 2.60-2.87
Cu (0.2500, 0.0000, 0.2500) [8 per cell]  8 Al 2.58-2.67, 2 Cu 2.60

No. 4
# Pa2AlCu3

An optimized crystal structure of Pa2AlCu3 (PBE-GGA, Alexandria).

energy of formation from the pure elements: -0.119 eV per atom

Unit cell a=5.4458 b=5.4458 c=8.0476 alpha=90.00 beta=90.00 gamma=120.00
With the nearest neighbours (Å) after each atom.
Space group P6_3/mmc (No. 194)
Symmetry-distinct sites (fractional):
Pa (0.3333, 0.6667, 0.0743) [4 per cell]  1 Pa 2.83, 9 Cu 3.03-3.07
Al (0.0000, 0.0000, 0.0000) [2 per cell]  6 Cu 2.58
Cu (0.1706, 0.3412, 0.7500) [6 per cell]  2 Al 2.58, 4 Cu 2.66-2.79

No. 5
# PaAl5Cu

An optimized crystal structure of PaAl5Cu (PBE-GGA, Alexandria).

energy of formation from the pure elements: -0.199 eV per atom

Unit cell a=4.2955 b=4.2955 c=6.9530 alpha=90.00 beta=90.00 gamma=90.00
With the nearest neighbours (Å) after each atom.
Space group P4/mmm (No. 123)
Symmetry-distinct sites (fractional):
Pa (0.0000, 0.0000, 0.0000) [1 per cell]  12 Al 3.00-3.04
Al (0.0000, 0.5000, 0.3020) [4 per cell]  2 Cu 2.55, 1 Al 2.75
Al (0.5000, 0.5000, 0.0000) [1 per cell]  8 Al 3.00, 4 Pa 3.04
Cu (0.0000, 0.0000, 0.5000) [1 per cell]  8 Al 2.55

No. 6
# PaAl2Cu

An optimized crystal structure of PaAl2Cu (PBE-GGA, Alexandria).

energy of formation from the pure elements: -0.044 eV per atom

Unit cell a=2.9768 b=2.9768 c=28.1182 alpha=90.00 beta=90.00 gamma=120.00
With the nearest neighbours (Å) after each atom.
Space group R-3m (No. 166, hexagonal axes)
Symmetry-distinct sites (fractional):
Pa (0.0000, 0.0000, 0.0000) [3 per cell]  6 Pa 2.98, 6 Al 3.20
Al (0.0000, 0.0000, 0.2375) [6 per cell]  3 Cu 2.63
Cu (0.0000, 0.0000, 0.5000) [3 per cell]  6 Al 2.63

No. 7
# PaAl2Cu

An optimized crystal structure of PaAl2Cu (PBE-GGA, Alexandria).

energy of formation from the pure elements: -0.034 eV per atom

Unit cell a=4.1951 b=4.1951 c=4.3321 alpha=90.00 beta=90.00 gamma=90.00
With the nearest neighbours (Å) after each atom.
Space group P4/mmm (No. 123)
Symmetry-distinct sites (fractional):
Pa (0.0000, 0.0000, 0.0000) [1 per cell]  4 Cu 2.97, 8 Al 3.02
Al (0.0000, 0.5000, 0.5000) [2 per cell]  4 Al 2.97, 4 Cu 3.02, 4 Pa 3.02
Cu (0.5000, 0.5000, 0.0000) [1 per cell]  4 Pa 2.97, 8 Al 3.02

No. 8
# Pa2AlCu

An optimized crystal structure of Pa2AlCu (PBE-GGA, Alexandria).

energy of formation from the pure elements: 0.358 eV per atom

Unit cell a=2.9924 b=2.9924 c=33.2338 alpha=90.00 beta=90.00 gamma=120.00
With the nearest neighbours (Å) after each atom.
Space group R-3m (No. 166, hexagonal axes)
Symmetry-distinct sites (fractional):
Pa (0.0000, 0.0000, 0.0875) [6 per cell]  1 Cu 2.91, 6 Pa 2.99, 3 Al 3.15
Al (0.0000, 0.0000, 0.5000) [3 per cell]  6 Al 2.99, 6 Pa 3.15
Cu (0.0000, 0.0000, 0.0000) [3 per cell]  2 Pa 2.91, 6 Cu 2.99

Question: energy of formation from the pure elements of number 7 (PaAl2Cu)?
Answer: -0.034 eV per atom